1.
## GaRuN2O (PBE)

Data for a geometry-optimized GaRuN2O structure.

Output
For the uncorrected formation energy, the calculation gives 1214 meV/atom. The size of the total moment comes out at 1.53 μB/cell.

```
GaRuN2O
1.0
3.850 0.000 0.000
0.000 3.850 0.000
0.000 0.000 3.774
Ga Ru N O
1 1 2 1
Cartesian
0.000 0.000 0.000
1.925 1.925 1.887
0.000 1.925 0.000
1.925 0.000 0.000
0.000 0.000 1.887
```

***

2.
## ReNiBr2 (PBE)

Data for a geometry-optimized ReNiBr2 structure.

Output
For the uncorrected formation energy, the calculation gives 565 meV/atom. The size of the total moment comes out at 0.00 μB/cell.

```
ReNiBr2
1.0
3.076 0.000 0.000
0.000 3.076 0.000
0.000 0.000 8.316
Re Ni Br
1 1 2
Cartesian
0.000 0.000 0.000
1.538 1.538 6.829
0.000 0.000 5.267
1.538 1.538 1.659
```

***

3.
## SmICl (PBE)

Data for a geometry-optimized SmICl structure.

Output
For the uncorrected formation energy, the calculation gives -1548 meV/atom. The size of the total moment comes out at 0.00 μB/cell.

```
SmICl
1.0
-1.836 1.836 7.384
1.836 -1.836 7.384
1.836 1.836 -7.384
Sm I Cl
1 1 1
Cartesian
0.000 0.000 0.000
0.000 0.000 5.447
0.000 0.000 8.909
```

***

4.
## YNb2Zn2 (PBE)

Data for a geometry-optimized YNb2Zn2 structure.

Output
The calculation puts the formation energy at 297 meV per atom. The size of the total moment comes out at 0.72 μB/cell.

```
YNb2Zn2
1.0
-2.130 2.130 5.758
2.130 -2.130 5.758
2.130 2.130 -5.758
Y Nb Zn
1 2 2
Cartesian
0.000 0.000 0.000
0.000 0.000 4.526
0.000 0.000 6.989
2.130 0.000 2.879
0.000 2.130 2.879
```

***

5.
## SrAl3Tc (PBE)

Data for a geometry-optimized SrAl3Tc structure.

Output
The calculation puts the formation energy at -234 meV per atom. The size of the total moment comes out at 0.00 μB/cell.

```
SrAl3Tc
1.0
5.389 0.000 0.000
-1.250 5.358 0.000
-1.104 -1.564 6.810
Sr Al Tc
2 6 2
Cartesian
0.000 0.000 0.000
0.612 3.722 4.441
-0.417 2.680 1.493
-0.240 1.075 5.622
1.040 1.042 2.943
2.695 -0.291 1.494
2.455 1.079 5.623
3.309 4.005 2.941
2.259 2.443 0.910
3.753 1.272 3.525
```

***

6.
## FeReAs (PBE)

Data for a geometry-optimized FeReAs structure.

Output
The calculation puts the formation energy at 285 meV per atom. The size of the total moment comes out at 0.44 μB/cell.

```
FeReAs
1.0
0.000 2.812 2.812
2.812 0.000 2.812
2.812 2.812 0.000
Fe Re As
1 1 1
Cartesian
0.000 0.000 0.000
4.219 4.219 4.219
1.406 1.406 1.406
```

***

Among the records above, which one has the highest size of the total moment? GaRuN2O

***

Which of these has the highest size of the total moment? GaRuN2O